18
Lattice="6.654 -4.893 0.000 6.654 4.893 0.000 -0.767 0.000 4.978" Properties=species:S:1:pos:R:3 comment="PBE NaZn2Ag6, optimized geometry" mass_density_g_cm3=8.207 dft_energy_ev_per_cell=-41.71 ef_ev_per_fu=0.12 n_ef_per_ev_cell=3.698 e_above_lowest_polymorph_mev_per_atom=0 pbc="T T T"
Na 6.079 3.785 3.733
Na 6.462 -3.785 1.244
Zn 3.836 1.247 4.470
Zn 4.220 -1.247 1.981
Zn 8.321 1.247 2.997
Zn 8.705 -1.247 0.508
Ag 4.791 3.520 0.953
Ag 2.826 1.169 1.747
Ag 8.133 3.520 1.535
Ag 5.598 1.218 2.351
Ag 2.442 -1.169 4.235
Ag 7.327 1.218 0.138
Ag 5.214 -1.218 4.839
Ag 10.099 1.169 0.742
Ag 6.943 -1.218 2.627
Ag 4.408 -3.520 3.442
Ag 9.715 -1.169 3.231
Ag 7.749 -3.520 4.024


12
Lattice="5.749 0.000 0.000 -2.875 4.979 0.000 0.000 0.000 8.687" Properties=species:S:1:pos:R:3 comment="PBE Na2ZnAg3, optimized geometry" mass_density_g_cm3=5.809 dft_energy_ev_per_cell=-25.86 ef_ev_per_fu=-0.46 n_ef_per_ev_cell=3.401 pbc="T T T"
Na 0.000 3.319 0.558
Na 0.000 3.319 3.786
Na 2.875 1.660 4.901
Na 2.875 1.660 8.130
Zn 0.000 0.000 0.000
Zn 0.000 0.000 4.344
Ag 0.000 1.680 6.516
Ag -1.420 4.139 6.516
Ag 1.455 0.840 2.172
Ag 1.420 4.139 6.516
Ag 4.295 0.840 2.172
Ag 2.875 3.299 2.172


19
Lattice="5.964 3.443 2.940 -5.964 3.443 2.940 0.000 -6.887 2.940" Properties=species:S:1:pos:R:3 comment="PBE NaZn6Ag12, optimized geometry" mass_density_g_cm3=7.836 dft_energy_ev_per_cell=-41.61 ef_ev_per_fu=1.57 n_ef_per_ev_cell=7.544 pbc="T T T"
Na 0.000 0.000 0.000
Zn 0.000 -2.852 3.725
Zn -2.469 1.426 3.725
Zn -2.469 -1.426 5.097
Zn 2.469 1.426 3.725
Zn 2.469 -1.426 5.097
Zn 0.000 2.852 5.097
Ag -2.286 -3.959 4.411
Ag -4.572 0.000 4.411
Ag -1.485 -0.857 2.637
Ag 1.485 -0.857 2.637
Ag 0.000 1.715 2.637
Ag 2.286 -3.959 4.411
Ag -2.286 3.959 4.411
Ag 0.000 -1.715 6.184
Ag -1.485 0.857 6.184
Ag 1.485 0.857 6.184
Ag 4.572 0.000 4.411
Ag 2.286 3.959 4.411